[1]
Compound: GaTe2OsW
Source: Alexandria via LeMat-Bulk
Functional: meta-GGA SCAN
Structure: PBEsol geometry

Geometry as POSCAR:
```
GaTe2OsW
1.0
4.517 0.000 0.000
0.000 5.045 0.000
0.000 0.000 5.045
Te Os Ga W
2 1 1 1
Direct
0.000 0.000 0.500
0.000 0.500 0.000
0.500 0.000 0.000
0.000 0.000 0.000
0.500 0.500 0.500
```

Output
formation energy from raw total energies: 10.0 eV/f.u.
DOS(E_F): 2.72 states/eV/f.u.
DFT total energy: -222.44 eV for the cell shown

***

[2]
Compound: Tm2GaOs
Source: Alexandria via LeMat-Bulk
Functional: meta-GGA SCAN
Structure: PBEsol geometry

Geometry as POSCAR:
```
Tm2GaOs
1.0
4.787 0.000 0.000
2.394 4.146 0.000
2.394 1.382 3.909
Tm Ga Os
2 1 1
Direct
0.250 0.250 0.250
0.750 0.750 0.750
0.500 0.500 0.500
0.000 0.000 0.000
```

Output
ΔE_f: -2.28 eV/f.u.
DOS(E_F): 1.71 states/eV/f.u.
DFT total energy: -194.17 eV for the cell shown

***

[3]
Compound: Tm2Ga10Os3
Source: Alexandria via LeMat-Bulk
Functional: meta-GGA SCAN
Structure: PBEsol geometry

Geometry as POSCAR:
```
Tm2Ga10Os3
1.0
6.274 0.000 0.000
0.000 8.780 0.000
0.000 0.000 8.780
Ga Tm Os
20 4 6
Direct
0.708 0.793 0.939
0.719 0.500 0.000
0.281 0.000 0.500
0.708 0.561 0.707
0.292 0.561 0.707
0.708 0.293 0.561
0.292 0.939 0.207
0.708 0.707 0.439
0.292 0.207 0.061
0.708 0.939 0.207
0.292 0.061 0.793
0.292 0.793 0.939
0.281 0.500 0.000
0.708 0.061 0.793
0.292 0.439 0.293
0.719 0.000 0.500
0.292 0.293 0.561
0.292 0.707 0.439
0.708 0.207 0.061
0.708 0.439 0.293
0.000 0.317 0.817
0.000 0.817 0.683
0.000 0.683 0.183
0.000 0.183 0.317
0.500 0.679 0.179
0.500 0.321 0.821
0.000 0.500 0.500
0.500 0.821 0.679
0.000 0.000 0.000
0.500 0.179 0.321
```

Output
ΔE_f: -8.13 eV/f.u.
DOS(E_F): 3.33 states/eV/f.u.
DFT total energy: -981.80 eV for the cell shown

***

[4]
Compound: Ga3OsW
Source: Alexandria via LeMat-Bulk
Functional: meta-GGA SCAN
Structure: PBEsol geometry

Geometry as POSCAR:
```
Ga3OsW
1.0
-3.361 -2.881 -1.529
0.722 -2.798 3.685
-3.180 2.409 2.452
Ga Os W
3 1 1
Direct
0.000 0.500 0.000
0.500 0.000 0.000
0.000 0.000 0.500
0.000 0.000 0.000
0.500 0.500 0.500
```

Output
ΔE_f: 5.67 eV/f.u.
DOS(E_F): 2.06 states/eV/f.u.
DFT total energy: -184.93 eV for the cell shown